Record 1
Here is crystalline CaYCdRh at its relaxed geometry from Alexandria. Energies are from GGA-PBE.

The structure in POSCAR format:
```
CaYCdRh
1.0
-0.003 3.873 3.289
-4.132 2.916 0.487
-2.808 -0.258 4.226
Ca Cd Rh Y
1 1 1 1
Direct
0.500 0.500 0.500 Ca
0.250 0.250 0.250 Cd
0.750 0.750 0.750 Rh
0.000 0.000 0.000 Y
```

Summary:
Calculated volume, Å³ per cell: 92.75
DFT formation energy, eV/f.u.: -1.65
N(E_F), states/eV/cell: 3.0

Record 2
Here is crystalline PmNi6Ir2 at its relaxed geometry from Alexandria. Energies are from GGA-PBE.

The structure in POSCAR format:
```
PmNi6Ir2
1.0
4.131 0.000 0.000
2.065 5.993 0.865
2.065 2.031 5.704
Ni Pm Ir
6 1 2
Direct
0.276 0.536 0.913 Ni
0.276 0.913 0.536 Ni
0.724 0.087 0.464 Ni
0.724 0.464 0.087 Ni
0.500 0.683 0.317 Ni
0.500 0.317 0.683 Ni
0.000 0.000 0.000 Pm
0.876 0.624 0.624 Ir
0.124 0.376 0.376 Ir
```

Summary:
Calculated volume, Å³ per cell: 133.94
DFT formation energy, eV/f.u.: 0.55
N(E_F), states/eV/cell: 16.3

Record 3
Here is crystalline LiCa6Au3 at its relaxed geometry from Alexandria. Energies are from GGA-PBE.

The structure in POSCAR format:
```
LiCa6Au3
1.0
4.549 0.000 0.000
0.000 10.208 -4.035
0.000 0.103 13.020
Ca Au Li
12 6 2
Direct
0.250 0.888 0.572 Ca
0.750 0.741 0.327 Ca
0.250 0.574 0.910 Ca
0.750 0.834 0.803 Ca
0.750 0.834 0.090 Ca
0.750 0.472 0.610 Ca
0.250 0.528 0.390 Ca
0.750 0.426 0.090 Ca
0.250 0.166 0.910 Ca
0.250 0.259 0.673 Ca
0.750 0.112 0.428 Ca
0.250 0.166 0.197 Ca
0.250 0.298 0.458 Au
0.750 0.702 0.542 Au
0.250 0.899 0.969 Au
0.750 0.361 0.833 Au
0.750 0.101 0.031 Au
0.250 0.639 0.167 Au
0.250 0.908 0.280 Li
0.750 0.092 0.720 Li
```

Summary:
Calculated volume, Å³ per cell: 606.44
DFT formation energy, eV/f.u.: -4.84
N(E_F), states/eV/cell: 13.6

Record 4
Here is crystalline SbPbF4 at its relaxed geometry from Alexandria. Energies are from GGA-PBE.

The structure in POSCAR format:
```
SbPbF4
1.0
-6.157 -2.185 -1.884
0.667 -2.405 6.325
0.566 6.770 -0.289
Pb F Sb
2 8 2
Direct
0.247 0.247 0.000 Pb
0.997 0.497 0.500 Pb
0.806 0.013 0.793 F
0.763 0.056 0.293 F
0.670 0.498 0.172 F
0.326 0.498 0.828 F
0.763 0.469 0.707 F
0.248 0.920 0.672 F
0.219 0.013 0.207 F
0.248 0.576 0.328 F
0.731 0.731 0.000 Sb
0.481 0.981 0.500 Sb
```

Summary:
Calculated volume, Å³ per cell: 240.07
Formation energy without anion corrections, eV/atom: -1.952

Record 5
Here is crystalline CaY2Cd2 at its relaxed geometry from Alexandria. Energies are from GGA-PBE.

The structure in POSCAR format:
```
CaY2Cd2
1.0
4.564 0.000 0.000
0.000 4.564 0.000
2.282 2.282 7.678
Y Cd Ca
2 2 1
Direct
0.612 0.612 0.777 Y
0.388 0.388 0.223 Y
0.750 0.250 0.500 Cd
0.250 0.750 0.500 Cd
0.000 0.000 0.000 Ca
```

Summary:
Calculated volume, Å³ per cell: 159.94
DFT formation energy, eV/f.u.: 0.50
N(E_F), states/eV/cell: 5.1

Record 6
Here is crystalline Sm4AlHgO at its relaxed geometry from Alexandria. Energies are from GGA-PBE.

The structure in POSCAR format:
```
Sm4AlHgO
1.0
6.739 0.000 0.000
0.000 6.746 0.000
-3.370 0.000 7.987
O Sm Al Hg
2 8 2 2
Direct
0.754 0.250 0.507 O
0.246 0.750 0.493 O
0.425 0.750 0.849 Sm
0.075 0.750 0.150 Sm
0.500 0.500 0.500 Sm
0.925 0.250 0.850 Sm
0.000 0.000 0.500 Sm
0.575 0.250 0.151 Sm
0.500 0.000 0.500 Sm
0.000 0.500 0.500 Sm
0.617 0.750 0.234 Al
0.383 0.250 0.766 Al
0.884 0.750 0.768 Hg
0.116 0.250 0.232 Hg
```

Summary:
Calculated volume, Å³ per cell: 363.12
N(E_F), states/eV/cell: 9.3
Formation energy without anion corrections, eV/atom: -1.000

Record 7
Here is crystalline CePrAl2 at its relaxed geometry from Alexandria. Energies are from GGA-PBE.

The structure in POSCAR format:
```
CePrAl2
1.0
4.372 0.000 0.000
0.000 8.220 0.000
0.000 0.000 11.085
Al Ce Pr
8 4 4
Direct
0.750 0.828 0.021 Al
0.250 0.411 0.353 Al
0.750 0.089 0.853 Al
0.250 0.672 0.521 Al
0.250 0.172 0.979 Al
0.750 0.589 0.647 Al
0.750 0.328 0.479 Al
0.250 0.911 0.147 Al
0.750 0.470 0.927 Ce
0.250 0.030 0.427 Ce
0.250 0.530 0.073 Ce
0.750 0.970 0.573 Ce
0.750 0.195 0.193 Pr
0.250 0.305 0.693 Pr
0.250 0.805 0.807 Pr
0.750 0.695 0.307 Pr
```

Summary:
Calculated volume, Å³ per cell: 398.34
DFT formation energy, eV/f.u.: -1.36
N(E_F), states/eV/cell: 19.2

Record 8
Here is crystalline Dy3Y at its relaxed geometry from Alexandria. Energies are from GGA-PBE.

The structure in POSCAR format:
```
Dy3Y
1.0
5.022 0.000 0.000
0.000 5.022 0.000
0.000 0.000 5.022
Y Dy
1 3
Direct
0.000 0.000 0.000 Y
0.000 0.500 0.500 Dy
0.500 0.000 0.500 Dy
0.500 0.500 0.000 Dy
```

Summary:
Calculated volume, Å³ per cell: 126.64
DFT formation energy, eV/f.u.: 0.09
N(E_F), states/eV/cell: 6.0